[1]
{"formula": "SnGePd3", "functional": "PBE-GGA", "state": "relaxed", "lattice": [[4.932, 0.000, 0.000], [0.000, 4.932, 0.000], [0.000, 0.000, 4.932]], "species": ["Pd", "Pd", "Pd", "Sn", "Ge"], "fractional_positions": [[0.000, 0.500, 0.000], [0.000, 0.000, 0.500], [0.500, 0.000, 0.000], [0.000, 0.000, 0.000], [0.500, 0.500, 0.500]], "spacegroup": "Pm-3m, No. 221", "crystal_system": "cubic", "volume_a3_per_atom": 24.0, "formation_energy_ev_per_atom": 0.5210}

[2]
{"formula": "Sm4Y2Ho3", "functional": "PBE-GGA", "state": "relaxed", "lattice": [[-4.805, 1.431, 0.704], [0.823, -7.507, 2.673], [4.435, 13.985, 1.845]], "species": ["Sm", "Sm", "Sm", "Sm", "Ho", "Ho", "Ho", "Y", "Y"], "fractional_positions": [[0.334, 0.668, 0.001], [0.889, 0.777, 0.666], [0.666, 0.332, 0.999], [0.111, 0.223, 0.334], [0.000, 0.000, 0.000], [0.557, 0.114, 0.667], [0.443, 0.886, 0.333], [0.221, 0.442, 0.666], [0.779, 0.558, 0.334]], "spacegroup": "C2/m, No. 12", "crystal_system": "monoclinic", "volume_a3_per_atom": 32.5, "formation_energy_ev_per_atom": 0.0186}

[3]
{"formula": "TlP2Ir2", "functional": "PBE-GGA", "state": "relaxed", "lattice": [[3.952, 0.000, 0.000], [0.000, 3.952, 0.000], [1.976, 1.976, 6.580]], "species": ["Ir", "Ir", "P", "P", "Tl"], "fractional_positions": [[0.750, 0.250, 0.500], [0.250, 0.750, 0.500], [0.652, 0.652, 0.697], [0.348, 0.348, 0.303], [0.000, 0.000, 0.000]], "spacegroup": "I4/mmm, No. 139", "crystal_system": "tetragonal", "volume_a3_per_atom": 20.6, "formation_energy_ev_per_atom": -0.3721}